# LiMnO2

A relaxed LiMnO2 crystal (PBE+U, Alexandria).

Cell lengths 5.2618, 5.8648, 7.3534 Å; angles 90.78, 93.45, 90.67 degrees
Space group P-1 (No. 2)
Symmetry-distinct sites (fractional):
Li1 0.0972 0.3779 0.3226 [2 per cell]
Li2 0.2665 0.6263 0.9896 [2 per cell]
Li3 0.4017 0.8730 0.6744 [2 per cell]
Mn1 0.0907 0.8782 0.3336 [2 per cell]
Mn2 0.2524 0.1396 0.0063 [2 per cell]
Mn3 0.4152 0.3842 0.6706 [2 per cell]
O1 0.0870 0.9048 0.8342 [2 per cell]
O2 0.1293 0.3743 0.8327 [2 per cell]
O3 0.2200 0.1464 0.5209 [2 per cell]
O4 0.2785 0.6446 0.4751 [2 per cell]
O5 0.3837 0.8919 0.1670 [2 per cell]
O6 0.4112 0.3738 0.1691 [2 per cell]

D(E_F), states/eV/f.u.: 0.03
Final energy, eV/atom: -6.6087
Size of the total moment, μB/cell: 24.00